A.
PdSe2SN: optimized geometry, PBE.

Cell lengths 5.126, 5.126, 3.687 Å; angles 90.00, 90.00, 90.00 degrees
Atoms (fractional coordinates):
Pd1 0.000 0.000 0.000
Se1 0.000 0.500 0.000
Se2 0.500 0.000 0.000
S1 0.500 0.500 0.500
N1 0.000 0.000 0.500

* spin magnetization: 0.5 μB/f.u.
* V: 96.9 Å³ per cell


B.
PdSe2SN: optimized geometry, PBE.

Cell lengths 5.056, 5.056, 3.230 Å; angles 90.00, 90.00, 90.00 degrees
Atoms (fractional coordinates):
Pd1 0.000 0.000 0.000
Se1 0.000 0.500 0.500
Se2 0.500 0.000 0.500
S1 0.500 0.500 0.500
N1 0.500 0.500 0.000

* spin magnetization: 0.0 μB/f.u.
* V: 82.6 Å³ per cell


Most stable: B


A.
SrPdSN2: optimized geometry, PBE.

Cell lengths 4.752, 4.752, 5.859 Å; angles 90.00, 90.00, 90.00 degrees
Atoms (fractional coordinates):
Sr1 0.000 0.000 0.000
Pd1 0.500 0.500 0.500
S1 0.000 0.000 0.500
N1 0.000 0.500 0.000
N2 0.500 0.000 0.000

* spin magnetization: 5.2 μB/f.u.
* V: 132.3 Å³ per cell


B.
SrPdSN2: optimized geometry, PBE.

Cell lengths 4.125, 4.125, 5.052 Å; angles 90.00, 90.00, 90.00 degrees
Atoms (fractional coordinates):
Sr1 0.000 0.000 0.000
Pd1 0.500 0.500 0.500
S1 0.500 0.500 0.000
N1 0.000 0.500 0.500
N2 0.500 0.000 0.500

* spin magnetization: 3.0 μB/f.u.
* V: 85.9 Å³ per cell


Most stable: B


A.
TcPdSN2: optimized geometry, PBE.

Cell lengths 3.904, 3.904, 5.040 Å; angles 90.00, 90.00, 90.00 degrees
Atoms (fractional coordinates):
Tc1 0.000 0.000 0.000
Pd1 0.500 0.500 0.500
S1 0.500 0.500 0.000
N1 0.000 0.500 0.500
N2 0.500 0.000 0.500

* spin magnetization: 1.1 μB/f.u.
* V: 76.8 Å³ per cell


B.
TcPdSN2: optimized geometry, PBE.

Cell lengths 3.765, 3.765, 5.185 Å; angles 90.00, 90.00, 90.00 degrees
Atoms (fractional coordinates):
Tc1 0.000 0.000 0.000
Pd1 0.500 0.500 0.500
S1 0.000 0.000 0.500
N1 0.000 0.500 0.000
N2 0.500 0.000 0.000

* spin magnetization: 0.0 μB/f.u.
* V: 73.5 Å³ per cell


Most stable: B


A.
TePdS2N: optimized geometry, PBE.

Cell lengths 5.088, 5.088, 3.866 Å; angles 90.00, 90.00, 90.00 degrees
Atoms (fractional coordinates):
Te1 0.000 0.000 0.000
Pd1 0.500 0.500 0.500
S1 0.000 0.500 0.000
S2 0.500 0.000 0.000
N1 0.000 0.000 0.500

* spin magnetization: 0.8 μB/f.u.
* V: 100.1 Å³ per cell


B.
TePdS2N: optimized geometry, PBE.

Cell lengths 4.955, 4.955, 3.742 Å; angles 90.00, 90.00, 90.00 degrees
Atoms (fractional coordinates):
Te1 0.000 0.000 0.000
Pd1 0.500 0.500 0.500
S1 0.000 0.500 0.500
S2 0.500 0.000 0.500
N1 0.500 0.500 0.000

* spin magnetization: 0.4 μB/f.u.
* V: 91.9 Å³ per cell


Most stable: B


A.
TiPdS2N: optimized geometry, PBE.

Cell lengths 4.780, 4.780, 3.746 Å; angles 90.00, 90.00, 90.00 degrees
Atoms (fractional coordinates):
Ti1 0.000 0.000 0.000
Pd1 0.500 0.500 0.500
S1 0.000 0.500 0.000
S2 0.500 0.000 0.000
N1 0.000 0.000 0.500

* spin magnetization: 0.0 μB/f.u.
* V: 85.6 Å³ per cell


B.
TiPdS2N: optimized geometry, PBE.

Cell lengths 4.820, 4.820, 3.702 Å; angles 90.00, 90.00, 90.00 degrees
Atoms (fractional coordinates):
Ti1 0.000 0.000 0.000
Pd1 0.500 0.500 0.500
S1 0.000 0.500 0.500
S2 0.500 0.000 0.500
N1 0.500 0.500 0.000

* spin magnetization: 0.3 μB/f.u.
* V: 86.0 Å³ per cell


Most stable: A


A.
PdWS2N: optimized geometry, PBE.

Cell lengths 4.786, 4.786, 3.795 Å; angles 90.00, 90.00, 90.00 degrees
Atoms (fractional coordinates):
Pd1 0.000 0.000 0.000
W1 0.500 0.500 0.500
S1 0.000 0.500 0.500
S2 0.500 0.000 0.500
N1 0.500 0.500 0.000

* spin magnetization: 0.0 μB/f.u.
* V: 86.9 Å³ per cell


B.
PdWS2N: optimized geometry, PBE.

Cell lengths 4.747, 4.747, 3.634 Å; angles 90.00, 90.00, 90.00 degrees
Atoms (fractional coordinates):
Pd1 0.000 0.000 0.000
W1 0.500 0.500 0.500
S1 0.000 0.500 0.000
S2 0.500 0.000 0.000
N1 0.000 0.000 0.500

* spin magnetization: 0.0 μB/f.u.
* V: 81.9 Å³ per cell


Most stable: A


A.
YPdS2N: optimized geometry, PBE.

Cell lengths 4.857, 4.857, 3.810 Å; angles 90.00, 90.00, 90.00 degrees
Atoms (fractional coordinates):
Y1 0.000 0.000 0.000
Pd1 0.500 0.500 0.500
S1 0.000 0.500 0.500
S2 0.500 0.000 0.500
N1 0.500 0.500 0.000

* spin magnetization: 0.0 μB/f.u.
* V: 89.9 Å³ per cell


B.
YPdS2N: optimized geometry, PBE.

Cell lengths 5.250, 5.250, 4.281 Å; angles 90.00, 90.00, 90.00 degrees
Atoms (fractional coordinates):
Y1 0.000 0.000 0.000
Pd1 0.500 0.500 0.500
S1 0.000 0.500 0.000
S2 0.500 0.000 0.000
N1 0.000 0.000 0.500

* spin magnetization: 0.9 μB/f.u.
* V: 118.0 Å³ per cell


Most stable: A


A.
ZnPdSN2: optimized geometry, PBE.

Cell lengths 3.768, 3.768, 5.377 Å; angles 90.00, 90.00, 90.00 degrees
Atoms (fractional coordinates):
Zn1 0.000 0.000 0.000
Pd1 0.500 0.500 0.500
S1 0.000 0.000 0.500
N1 0.000 0.500 0.000
N2 0.500 0.000 0.000

* spin magnetization: 3.4 μB/f.u.
* V: 76.4 Å³ per cell


B.
ZnPdSN2: optimized geometry, PBE.

Cell lengths 3.814, 3.814, 5.480 Å; angles 90.00, 90.00, 90.00 degrees
Atoms (fractional coordinates):
Zn1 0.000 0.000 0.000
Pd1 0.500 0.500 0.500
S1 0.500 0.500 0.000
N1 0.000 0.500 0.500
N2 0.500 0.000 0.500

* spin magnetization: 1.1 μB/f.u.
* V: 79.7 Å³ per cell


Most stable: B